This record from Alexandria via LeMat-Bulk describes crystalline SrLi2Mg2 at its relaxed geometry. The functional is PBE.

Calculated values
Calculated total energy, eV/atom: -1.70
Calculated density, g/cm3: 1.8
Energy above the lowest structure with this stoichiometry, eV/f.u.: 0.304

Geometry as POSCAR:
```
SrLi2Mg2
1.0
8.911 0.000 0.000
0.000 8.911 0.000
0.000 0.000 3.426
Sr Li Mg
2 4 4
Direct
0.000 0.000 0.000
0.500 0.500 0.000
0.169 0.331 0.500
0.331 0.831 0.500
0.669 0.169 0.500
0.831 0.669 0.500
0.124 0.624 0.000
0.376 0.124 0.000
0.624 0.876 0.000
0.876 0.376 0.000
```

---

This record from Alexandria via LeMat-Bulk describes crystalline Tb2YErN4 at its relaxed geometry. The functional is PBE.

Calculated values
Calculated total energy, eV/atom: -8.40
Raw formation energy, eV/atom: -1.70
Calculated density, g/cm3: 8.8

Geometry as POSCAR:
```
Tb2YErN4
1.0
6.020 0.000 0.000
0.000 3.477 0.000
-2.004 0.000 5.676
Tb Y Er N
2 1 1 4
Direct
0.000 0.000 0.000
0.000 0.500 0.500
0.500 0.000 0.500
0.500 0.500 0.000
0.252 0.500 0.249
0.253 0.000 0.753
0.747 0.000 0.247
0.748 0.500 0.751
```

---

This record from Alexandria via LeMat-Bulk describes crystalline HfZrCd at its relaxed geometry. The functional is PBE.

Calculated values
Calculated total energy, eV/atom: -6.44
Calculated density, g/cm3: 9.4
Energy above the lowest structure with this stoichiometry, eV/f.u.: 0.383

Geometry as POSCAR:
```
HfZrCd
1.0
3.733 0.000 0.000
0.000 3.733 0.000
0.000 0.000 9.691
Hf Zr Cd
2 2 2
Direct
0.250 0.250 0.076
0.750 0.750 0.924
0.250 0.250 0.759
0.750 0.750 0.241
0.250 0.250 0.419
0.750 0.750 0.581
```

---

This record from Alexandria via LeMat-Bulk describes crystalline Tm5ThHg6 at its relaxed geometry. The functional is PBE.

Calculated values
Calculated total energy, eV/atom: -3.05
Calculated density, g/cm3: 12.5

Geometry as POSCAR:
```
Tm5ThHg6
1.0
8.201 -3.751 0.000
8.201 3.751 0.000
-1.600 0.000 4.941
Tm Th Hg
5 1 6
Direct
0.000 0.000 0.000
0.171 0.171 0.672
0.340 0.340 0.339
0.660 0.660 0.661
0.829 0.829 0.328
0.500 0.500 0.000
0.065 0.591 0.827
0.229 0.771 0.500
0.409 0.935 0.173
0.591 0.065 0.827
0.771 0.229 0.500
0.935 0.409 0.173
```

---

This record from Alexandria via LeMat-Bulk describes crystalline CrCuBr at its relaxed geometry. The functional is PBE.

Calculated values
Calculated total energy, eV/atom: -4.69
Raw formation energy, eV/atom: 0.44
Calculated density, g/cm3: 5.7
Energy above the lowest structure with this stoichiometry, eV/f.u.: 0.286

Geometry as POSCAR:
```
CrCuBr
1.0
-1.595 1.595 5.618
1.595 -1.595 5.618
1.595 1.595 -5.618
Cr Cu Br
1 1 1
Direct
0.000 0.000 0.000
0.631 0.631 0.000
0.351 0.351 0.000
```

---

This record from Alexandria via LeMat-Bulk describes crystalline Ti2FeW at its relaxed geometry. The functional is PBE.

Calculated values
Calculated total energy, eV/atom: -9.45
Calculated density, g/cm3: 9.6

Geometry as POSCAR:
```
Ti2FeW
1.0
3.042 0.000 0.000
0.000 3.042 0.000
0.000 0.000 6.297
Ti Fe W
2 1 1
Direct
0.000 0.000 0.232
0.000 0.000 0.768
0.500 0.500 0.000
0.500 0.500 0.500
```

---

This record from Alexandria via LeMat-Bulk describes crystalline HfTcNi at its relaxed geometry. The functional is PBE.

Calculated values
Calculated total energy, eV/atom: -9.01
Calculated density, g/cm3: 12.2
Energy above the lowest structure with this stoichiometry, eV/f.u.: 0.107

Geometry as POSCAR:
```
HfTcNi
1.0
2.109 -6.319 0.000
2.109 6.319 0.000
0.000 0.000 3.429
Hf Tc Ni
2 2 2
Direct
0.155 0.845 0.000
0.845 0.155 0.000
0.344 0.656 0.500
0.656 0.344 0.500
0.000 0.000 0.500
0.500 0.500 0.000
```

---

This record from Alexandria via LeMat-Bulk describes crystalline Ce2DyEr3Tm6 at its relaxed geometry. The functional is PBE.

Calculated values
Calculated total energy, eV/atom: -4.69
Calculated density, g/cm3: 8.9

Geometry as POSCAR:
```
Ce2DyEr3Tm6
1.0
-2.485 4.924 7.458
2.485 -4.924 7.458
2.485 4.924 -7.458
Ce Dy Er Tm
2 1 3 6
Direct
0.166 0.166 0.000
0.834 0.834 0.000
0.500 0.500 0.000
0.000 0.500 0.500
0.334 0.834 0.500
0.666 0.166 0.500
0.081 0.332 0.749
0.248 0.000 0.248
0.417 0.668 0.749
0.583 0.332 0.251
0.752 0.000 0.752
0.919 0.668 0.251
```

---

This record from Alexandria via LeMat-Bulk describes crystalline YHo3Tl4Te8 at its relaxed geometry. The functional is PBE.

Calculated values
Calculated total energy, eV/atom: -4.48
Raw formation energy, eV/atom: -1.05
Calculated density, g/cm3: 7.2

Geometry as POSCAR:
```
YHo3Tl4Te8
1.0
4.441 2.564 8.186
-4.441 2.564 8.186
0.000 -5.128 8.186
Y Ho Tl Te
1 3 4 8
Direct
0.000 0.000 0.000
0.000 0.500 0.500
0.500 0.000 0.500
0.500 0.500 0.000
0.000 0.000 0.500
0.000 0.500 0.000
0.500 0.000 0.000
0.500 0.500 0.500
0.238 0.238 0.736
0.238 0.736 0.238
0.263 0.263 0.263
0.264 0.762 0.762
0.736 0.238 0.238
0.737 0.737 0.737
0.762 0.264 0.762
0.762 0.762 0.264
```

---

This record from Alexandria via LeMat-Bulk describes crystalline PaI2Cl8 at its relaxed geometry. The functional is PBE.

Calculated values
Calculated total energy, eV/atom: -3.55
Raw formation energy, eV/atom: -1.06
Calculated density, g/cm3: 3.0

Geometry as POSCAR:
```
PaI2Cl8
1.0
8.340 -3.636 0.000
8.340 3.636 0.000
-2.472 0.000 7.130
Pa I Cl
1 2 8
Direct
0.000 0.000 0.000
0.256 0.256 0.479
0.744 0.744 0.521
0.081 0.081 0.372
0.142 0.659 0.044
0.341 0.858 0.956
0.406 0.406 0.571
0.594 0.594 0.429
0.659 0.142 0.044
0.858 0.341 0.956
0.919 0.919 0.628
```

---

This record from Alexandria via LeMat-Bulk describes crystalline Sn2BiSb at its relaxed geometry. The functional is PBE.

Calculated values
Calculated total energy, eV/atom: -3.81
Raw formation energy, eV/atom: 0.19
Calculated density, g/cm3: 5.7
Energy above the lowest structure with this stoichiometry, eV/f.u.: 0.585

Geometry as POSCAR:
```
Sn2BiSb
1.0
-3.643 3.643 6.186
3.643 -3.643 6.186
3.643 3.643 -6.186
Sn Bi Sb
4 2 2
Direct
0.113 0.625 0.988
0.375 0.363 0.488
0.637 0.125 0.012
0.875 0.887 0.512
0.250 0.750 0.500
0.500 0.500 0.000
0.000 0.000 0.000
0.750 0.250 0.500
```

---

This record from Alexandria via LeMat-Bulk describes crystalline YTmCu4 at its relaxed geometry. The functional is PBE.

Calculated values
Calculated total energy, eV/atom: -4.74
Calculated density, g/cm3: 8.3
Energy above the lowest structure with this stoichiometry, eV/f.u.: 0.553

Geometry as POSCAR:
```
YTmCu4
1.0
0.000 3.708 3.708
3.708 0.000 3.708
3.708 3.708 0.000
Y Tm Cu
1 1 4
Direct
0.000 0.000 0.000
0.250 0.250 0.250
0.126 0.625 0.625
0.625 0.126 0.625
0.625 0.625 0.126
0.625 0.625 0.625
```